An optimized crystal structure of TiPbS2, computed with PBE-GGA.

a b c (Å): 9.5528 8.7350 17.1360
angles (deg): 90.00 90.15 90.00
Last column: nearest neighbours and their distance in Å.
Space group C2/c (No. 15)
Symmetry-distinct sites (fractional):
Ti 0.9996 0.2473 0.1724  6 S 2.38-2.57, 1 Ti 2.66
Ti 0.2503 0.0027 0.8153  6 S 2.44-2.64
Pb 0.1184 0.1155 0.5950  3 S 2.92-3.05, 1 Pb 3.21
Pb 0.1182 0.3872 0.9049  3 S 2.92-3.05, 1 Pb 3.21
S 0.0000 0.0044 0.7500  4 Ti 2.57-2.64
S 0.0000 0.4990 0.2500  4 Ti 2.57-2.64
S 0.1145 0.3966 0.0753  2 Ti 2.38-2.44
S 0.1163 0.0984 0.4247  2 Ti 2.38-2.44
S 0.2234 0.2473 0.2500  4 Ti 2.47-2.52

## Properties
E, eV/atom: -5.809



An optimized crystal structure of KLiAsS3, computed with PBE-GGA.

a b c (Å): 6.7650 12.6207 6.5892
angles (deg): 90.00 90.00 90.00
Last column: nearest neighbours and their distance in Å.
Space group Cmcm (No. 63)
Symmetry-distinct sites (fractional):
K 0.0000 0.2341 0.2500  4 S 3.34-3.39
Li 0.0000 0.0802 0.7500  5 S 2.48-2.54
As 0.0000 0.4514 0.7500  5 S 2.21-2.47
S 0.0000 0.2766 0.7500  1 As 2.21
S 0.2439 0.0000 0.0000  2 As 2.47, 2 Li 2.54

## Properties
E, eV/atom: -4.014



An optimized crystal structure of Pm3TmCd, computed with PBE-GGA.

a b c (Å): 22.1653 3.5687 8.4029
angles (deg): 90.00 107.45 90.00
Last column: nearest neighbours and their distance in Å.
Space group C2/m (No. 12)
Symmetry-distinct sites (fractional):
Pm 0.0146 0.0000 0.2353  4 Cd 3.32-3.48, 7 Pm 3.48-3.70
Pm 0.1217 0.5000 0.0444  3 Tm 3.52-3.57, 1 Cd 3.55, 8 Pm 3.57-3.70
Pm 0.1758 0.0000 0.4460  2 Cd 3.35, 3 Tm 3.44-3.50, 7 Pm 3.48-3.69
Tm 0.2325 0.5000 0.8198  1 Cd 3.35, 4 Tm 3.40-3.57, 6 Pm 3.44-3.57
Cd 0.0787 0.5000 0.6025  7 Pm 3.32-3.55, 1 Tm 3.35, 3 Cd 3.40-3.57

## Properties
Formation energy from the elements, eV/atom: -0.02
Polymorph energy (0 for the lowest one), kJ per mole of atoms: 0.00